DFT (PBE) results for a relaxed structure of SiIr2Ru.

Lattice parameters (Å, degrees): 3.8074 3.8074 3.8414 90.00 90.00 90.00
Closest atoms and distances in Å follow each position.
Space group P4/mmm (No. 123)
Symmetry-distinct sites (fractional):
Si  0.0000  0.0000  0.0000  4 Ru 2.69, 8 Ir 2.70
Ir  0.0000  0.5000  0.5000  4 Ir 2.69, 4 Ru 2.70, 4 Si 2.70
Ru  0.5000  0.5000  0.0000  4 Si 2.69, 8 Ir 2.70

Properties
* uncorrected formation energy: -0.08 eV/atom
* spin magnetization: 0.00 μB per formula unit


DFT (PBE) results for a relaxed structure of Si2Ir2Ru.

Lattice parameters (Å, degrees): 7.0343 7.0343 2.7710 90.00 90.00 90.00
Closest atoms and distances in Å follow each position.
Space group P4/mbm (No. 127)
Symmetry-distinct sites (fractional):
Si  0.1532  0.3468  0.0000  6 Ir 2.43-2.52, 2 Ru 2.67
Ir  0.1460  0.6460  0.5000  6 Si 2.43-2.52
Ru  0.0000  0.0000  0.0000  4 Si 2.67, 2 Ru 2.77

Properties
* uncorrected formation energy: -0.37 eV/atom
* spin magnetization: 0.61 μB per formula unit
* E above lowest polymorph: 184 meV/atom


DFT (PBE) results for a relaxed structure of SiIrRu2.

Lattice parameters (Å, degrees): 6.0771 6.0771 6.0771 90.00 90.00 90.00
Closest atoms and distances in Å follow each position.
Space group F-43m (No. 216)
Symmetry-distinct sites (fractional):
Si  0.0000  0.0000  0.0000  4 Ru 2.63, 4 Ir 2.63
Ir  0.2500  0.2500  0.7500  4 Ru 2.63, 4 Si 2.63
Ru  0.0000  0.0000  0.5000  4 Ru 2.63, 4 Ir 2.63
Ru  0.2500  0.2500  0.2500  4 Ru 2.63, 4 Si 2.63

Properties
* uncorrected formation energy: 0.10 eV/atom
* spin magnetization: 2.29 μB per formula unit


DFT (PBE) results for a relaxed structure of SiIrRu.

Lattice parameters (Å, degrees): 7.9744 3.9807 5.6703 90.00 90.00 90.00
Closest atoms and distances in Å follow each position.
Space group Pnma (No. 62)
Symmetry-distinct sites (fractional):
Si  0.1314  0.2500  0.2286  4 Ir 2.39-2.43, 4 Ru 2.48-2.50
Ir  0.1316  0.7500  0.9876  4 Si 2.39-2.43
Ru  0.1089  0.7500  0.4887  4 Si 2.48-2.50, 2 Ru 2.65

Properties
* uncorrected formation energy: -0.30 eV/atom
* spin magnetization: 0.00 μB per formula unit
* E above lowest polymorph: 65 meV/atom


DFT (PBE) results for a relaxed structure of SiIrRu2.

Lattice parameters (Å, degrees): 3.8085 3.8085 7.5427 90.00 90.00 90.00
Closest atoms and distances in Å follow each position.
Space group I-4m2 (No. 119)
Symmetry-distinct sites (fractional):
Si  0.0000  0.0000  0.0000  8 Ru 2.68-2.69, 4 Ir 2.68
Ir  0.0000  0.5000  0.7500  8 Ru 2.68-2.69, 4 Si 2.68
Ru  0.0000  0.0000  0.5000  4 Ru 2.68, 4 Ir 2.68, 4 Si 2.69
Ru  0.0000  0.5000  0.2500  4 Ru 2.68, 4 Si 2.68, 4 Ir 2.69

Properties
* uncorrected formation energy: -0.18 eV/atom
* spin magnetization: 0.00 μB per formula unit


DFT (PBE) results for a relaxed structure of SiIr2Ru.

Lattice parameters (Å, degrees): 9.7764 2.8212 4.3977 90.00 113.18 90.00
Closest atoms and distances in Å follow each position.
Space group C2/m (No. 12)
Symmetry-distinct sites (fractional):
Si  0.0000  0.0000  0.0000  4 Ir 2.41, 4 Ru 2.61
Ir  0.2171  0.5000  0.2224  2 Si 2.41, 4 Ir 2.67-2.69
Ru  0.0000  0.5000  0.5000  4 Si 2.61, 2 Ru 2.82, 6 Ir 2.83-2.91

Properties
* uncorrected formation energy: -0.22 eV/atom
* spin magnetization: 0.00 μB per formula unit


DFT (PBE) results for a relaxed structure of SmSi2IrRu.

Lattice parameters (Å, degrees): 4.1568 4.1568 9.8796 90.00 90.00 90.00
Closest atoms and distances in Å follow each position.
Space group I-4m2 (No. 119)
Symmetry-distinct sites (fractional):
Sm  0.0000  0.0000  0.0000  8 Si 3.20, 4 Ru 3.23, 4 Ir 3.23
Si  0.0000  0.0000  0.3717  2 Ru 2.40, 2 Ir 2.40, 1 Si 2.54
Ir  0.0000  0.5000  0.7500  4 Si 2.40
Ru  0.0000  0.5000  0.2500  4 Si 2.40

Properties
* uncorrected formation energy: -1.02 eV/atom
* spin magnetization: 0.00 μB per formula unit


DFT (PBE) results for a relaxed structure of SiTcIrRu.

Lattice parameters (Å, degrees): 6.0766 6.0766 6.0766 90.00 90.00 90.00
Closest atoms and distances in Å follow each position.
Space group F-43m (No. 216)
Symmetry-distinct sites (fractional):
Si  0.0000  0.0000  0.0000  4 Tc 2.63, 4 Ru 2.63
Tc  0.2500  0.2500  0.2500  4 Ir 2.63, 4 Si 2.63
Ir  0.0000  0.0000  0.5000  4 Tc 2.63, 4 Ru 2.63
Ru  0.2500  0.2500  0.7500  4 Ir 2.63, 4 Si 2.63

Properties
* uncorrected formation energy: -0.04 eV/atom
* spin magnetization: 0.00 μB per formula unit


DFT (PBE) results for a relaxed structure of ThSi2IrRu.

Lattice parameters (Å, degrees): 4.1739 4.1739 9.9860 90.00 90.00 90.00
Closest atoms and distances in Å follow each position.
Space group I-4m2 (No. 119)
Symmetry-distinct sites (fractional):
Th  0.0000  0.0000  0.0000  8 Si 3.21, 4 Ru 3.25, 4 Ir 3.25
Si  0.0000  0.0000  0.3728  2 Ru 2.42, 2 Ir 2.42, 1 Si 2.54
Ir  0.0000  0.5000  0.7500  4 Si 2.42
Ru  0.0000  0.5000  0.2500  4 Si 2.42

Properties
* uncorrected formation energy: -1.03 eV/atom
* spin magnetization: 0.00 μB per formula unit


DFT (PBE) results for a relaxed structure of ThSi2Ir2Ru.

Lattice parameters (Å, degrees): 4.1985 4.1985 6.6913 90.00 90.00 120.00
Closest atoms and distances in Å follow each position.
Space group P-3m1 (No. 164)
Symmetry-distinct sites (fractional):
Th  0.0000  0.0000  0.0000  6 Ir 3.08, 6 Si 3.32, 2 Ru 3.35
Si  0.3333  0.6667  0.3400  4 Ir 2.45-2.52, 3 Ru 2.65
Ir  0.3333  0.6667  0.7169  4 Si 2.45-2.52
Ru  0.0000  0.0000  0.5000  6 Si 2.65, 6 Ir 2.83

Properties
* uncorrected formation energy: -0.83 eV/atom
* spin magnetization: 0.00 μB per formula unit


DFT (PBE) results for a relaxed structure of Th2Si4Ir3Ru.

Lattice parameters (Å, degrees): 4.2231 4.2231 9.8226 90.00 90.00 90.00
Closest atoms and distances in Å follow each position.
Space group P-4m2 (No. 115)
Symmetry-distinct sites (fractional):
Th  0.0000  0.5000  0.2461  6 Ir 3.21-3.27, 8 Si 3.21-3.24, 2 Ru 3.27
Si  0.0000  0.0000  0.0000  4 Ir 2.45
Si  0.0000  0.5000  0.6252  3 Ir 2.43-2.44, 2 Ru 2.44
Si  0.5000  0.5000  0.0000  4 Ir 2.45
Ir  0.0000  0.5000  0.8728  5 Si 2.43-2.45
Ir  0.5000  0.5000  0.5000  4 Si 2.44
Ru  0.0000  0.0000  0.5000  4 Si 2.44

Properties
* uncorrected formation energy: -1.06 eV/atom
* spin magnetization: 0.00 μB per formula unit


DFT (PBE) results for a relaxed structure of ThSi3IrRu.

Lattice parameters (Å, degrees): 6.3422 12.8362 5.7743 90.00 90.00 90.00
Closest atoms and distances in Å follow each position.
Space group Cmcm (No. 63)
Symmetry-distinct sites (fractional):
Th  0.0000  0.1997  0.2500  2 Si 2.89, 1 Ru 3.04
Si  0.0000  0.2135  0.7500  1 Ir 2.25, 1 Ru 2.26
Si  0.2039  0.5000  0.0000  2 Ir 2.41, 2 Ru 2.42, 1 Si 2.59
Ir  0.0000  0.3890  0.7500  5 Si 2.25-2.41
Ru  0.0000  0.0372  0.7500  5 Si 2.26-2.42

Properties
* uncorrected formation energy: -0.52 eV/atom
* spin magnetization: 0.00 μB per formula unit